The following is a PBE-GGA calculation of a relaxed DyY2C2 crystal, from Alexandria.

Lattice parameters (Å, degrees): 11.5390 5.0905 7.3467 90.00 109.55 90.00
Last column: nearest neighbours and their distance in Å.
Space group C2/m (No. 12)
Inequivalent atoms, fractional coordinates:
Dy: 0.1551 0.0000 0.0965 [4 per cell]  3 C 2.37-2.52
Y: 0.0070 0.5000 0.7284 [4 per cell]  4 C 2.41-2.56
Y: 0.1624 0.0000 0.5680 [4 per cell]  5 C 2.54-2.70
C: 0.0024 0.0000 0.7642 [4 per cell]  2 Dy 2.37-2.49, 3 Y 2.54-2.56
C: 0.1682 0.5000 0.5885 [4 per cell]  5 Y 2.41-2.58, 1 Dy 2.52

Computed properties:
magnetization = 0.85 μB per formula unit
formation energy = -216 meV per atom